Entry 1:
The following is a DFT calculation (PBE) of a relaxed structure of TlCd2In4Pb.

abc: 5.761 5.659 9.025
angles: 48.77 90.00 90.00
Positions (direct):
1 Tl 0.500 0.500 0.000
2 Cd 0.000 0.000 0.000
3 Cd 0.500 0.000 0.500
4 In 0.000 0.740 0.754
5 In 0.000 0.260 0.246
6 In 0.500 0.742 0.252
7 In 0.500 0.258 0.748
8 Pb 0.000 0.500 0.500

- DOS at the Fermi energy (states/eV/f.u.) = 3.3
- raw total energy (eV/atom) = -2.31


Entry 2:
The following is a DFT calculation (PBE) of a relaxed structure of TlGeAu2.

abc: 3.365 3.365 7.625
angles: 90.00 90.00 90.00
Positions (direct):
1 Tl 0.500 0.500 0.500
2 Au 0.000 0.000 0.794
3 Au 0.000 0.000 0.206
4 Ge 0.500 0.500 0.000

- DOS at the Fermi energy (states/eV/f.u.) = 0.7
- ΔE to the lowest computed polymorph (eV/atom) = 0.0839


Entry 3:
The following is a DFT calculation (PBE) of a relaxed structure of LiPrGa4Pt2.

abc: 4.316 4.316 9.128
angles: 76.32 76.32 60.00
Positions (direct):
1 Li 0.500 0.500 0.500
2 Pr 0.000 0.000 0.000
3 Ga 0.401 0.401 0.797
4 Ga 0.869 0.869 0.393
5 Ga 0.131 0.131 0.607
6 Ga 0.599 0.599 0.203
7 Pt 0.767 0.767 0.700
8 Pt 0.233 0.233 0.300

- DOS at the Fermi energy (states/eV/f.u.) = 2.4
- raw total energy (eV/atom) = -4.60


Entry 4:
The following is a DFT calculation (PBE) of a relaxed structure of Y2OsRhC.

abc: 4.909 4.909 3.862
angles: 90.00 90.00 90.00
Positions (direct):
1 Y 0.000 0.500 0.000
2 Y 0.500 0.000 0.000
3 Rh 0.500 0.500 0.500
4 C 0.000 0.000 0.000
5 Os 0.000 0.000 0.500

- DOS at the Fermi energy (states/eV/f.u.) = 3.2
- ΔE to the lowest computed polymorph (eV/atom) = 0.0000


Entry 5:
The following is a DFT calculation (PBE) of a relaxed structure of KAlSbPt2.

abc: 5.047 6.018 5.047
angles: 90.00 90.00 90.00
Positions (direct):
1 Sb 0.000 0.000 0.000
2 K 0.000 0.500 0.000
3 Al 0.500 0.500 0.500
4 Pt 0.000 0.000 0.500
5 Pt 0.500 0.000 0.000

- ΔE_f (raw) (meV per atom) = 579
- DOS at the Fermi energy (states/eV/f.u.) = 2.6


Entry 6:
The following is a DFT calculation (PBE) of a relaxed structure of Hf3NbPb.

abc: 5.113 5.113 5.113
angles: 90.00 90.00 90.00
Positions (direct):
1 Pb 0.500 0.500 0.500
2 Nb 0.000 0.000 0.000
3 Hf 0.000 0.500 0.000
4 Hf 0.000 0.000 0.500
5 Hf 0.500 0.000 0.000

- DOS at the Fermi energy (states/eV/f.u.) = 9.5
- ΔE to the lowest computed polymorph (eV/atom) = 0.8017


Entry 7:
The following is a DFT calculation (PBE) of a relaxed structure of NiAs2Rh.

abc: 3.004 5.264 5.143
angles: 46.99 90.00 90.00
Positions (direct):
1 As 0.000 0.000 0.000
2 As 0.500 0.500 0.000
3 Ni 0.500 0.500 0.500
4 Rh 0.000 0.000 0.500

- DOS at the Fermi energy (states/eV/f.u.) = 3.5
- raw total energy (eV/atom) = -5.71


Entry 8:
The following is a DFT calculation (PBE) of a relaxed structure of La6PmPu.

abc: 6.353 6.353 8.166
angles: 105.20 105.21 109.01
Site moments in Bohr magnetons follow the coordinates.
Positions (direct):
1 La 0.622 0.122 0.244  0.06
2 La 0.878 0.378 0.756  0.06
3 La 0.239 0.239 0.478  0.02
4 La 0.122 0.622 0.244  0.06
5 La 0.378 0.878 0.756  0.06
6 La 0.761 0.761 0.522  0.02
7 Pm 0.500 0.500 0.000  0.05
8 Pu 0.000 0.000 0.000  5.63

- DOS at the Fermi energy (states/eV/f.u.) = 17.9
- raw total energy (eV/atom) = -6.02


Entry 9:
The following is a DFT calculation (PBE) of a relaxed structure of Na2TmInTe4.

abc: 4.334 7.632 8.016
angles: 108.54 90.00 90.00
Positions (direct):
1 Na 0.500 0.000 0.500
2 Na 0.000 0.500 0.500
3 Tm 0.500 0.500 0.000
4 In 0.000 0.000 0.000
5 Te 0.500 0.235 0.222
6 Te 0.500 0.765 0.778
7 Te 0.000 0.260 0.768
8 Te 0.000 0.740 0.232

- ΔE_f (raw) (meV per atom) = -895
- DOS at the Fermi energy (states/eV/f.u.) = 1.5


Entry 10:
The following is a DFT calculation (PBE) of a relaxed structure of K2NaZn2.

abc: 8.533 8.533 5.076
angles: 90.00 90.00 90.00
Positions (direct):
1 Na 0.000 0.000 0.000
2 Na 0.500 0.500 0.000
3 Zn 0.391 0.891 0.000
4 Zn 0.891 0.609 0.000
5 Zn 0.609 0.109 0.000
6 Zn 0.109 0.391 0.000
7 K 0.182 0.682 0.500
8 K 0.682 0.818 0.500
9 K 0.818 0.318 0.500
10 K 0.318 0.182 0.500

- DOS at the Fermi energy (states/eV/f.u.) = 2.4
- ΔE to the lowest computed polymorph (eV/atom) = 0.0000


Entry 11:
The following is a DFT calculation (PBE) of a relaxed structure of Ga3Cu.

abc: 4.563 4.563 4.563
angles: 60.00 60.00 60.00
Positions (direct):
1 Cu 0.500 0.500 0.500
2 Ga 0.000 0.000 0.000
3 Ga 0.750 0.750 0.750
4 Ga 0.250 0.250 0.250

- DOS at the Fermi energy (states/eV/f.u.) = 2.7
- raw total energy (eV/atom) = -3.16


Entry 12:
The following is a DFT calculation (PBE) of a relaxed structure of Zr2TlH2.

abc: 5.510 5.510 6.144
angles: 103.60 103.60 118.50
Positions (direct):
1 Zr 0.461 0.539 0.250
2 Zr 0.789 0.211 0.250
3 Zr 0.211 0.789 0.750
4 Zr 0.539 0.461 0.750
5 Tl 0.125 0.875 0.250
6 Tl 0.875 0.125 0.750
7 H 0.751 0.501 0.502
8 H 0.499 0.249 0.998
9 H 0.501 0.751 0.002
10 H 0.249 0.499 0.498

- DOS at the Fermi energy (states/eV/f.u.) = 2.8
- ΔE to the lowest computed polymorph (eV/atom) = 0.0171


Entry 13:
The following is a DFT calculation (PBE) of a relaxed structure of Mn5AgCl12.

abc: 6.369 6.464 12.967
angles: 90.48 90.97 60.48
Site moments in Bohr magnetons follow the coordinates.
Positions (direct):
1 Mn 0.500 0.000 0.500  -4.45
2 Mn 0.166 0.668 0.500  4.41
3 Mn 0.834 0.332 0.500  4.41
4 Mn 0.664 0.672 0.000  4.09
5 Mn 0.336 0.328 0.000  4.09
6 Ag 0.000 0.000 0.000  0.01
7 Cl 0.830 0.000 0.393  0.03
8 Cl 0.170 0.000 0.607  0.03
9 Cl 0.634 0.000 0.890  0.06
10 Cl 0.366 0.000 0.110  0.06
11 Cl 0.378 0.633 0.892  0.03
12 Cl 0.990 0.633 0.108  0.03
13 Cl 0.010 0.367 0.892  0.03
14 Cl 0.622 0.367 0.108  0.03
15 Cl 0.506 0.335 0.606  0.03
16 Cl 0.840 0.665 0.606  0.03
17 Cl 0.160 0.335 0.394  0.03
18 Cl 0.494 0.665 0.394  0.03

- ΔE_f (raw) (meV per atom) = -979
- DOS at the Fermi energy (states/eV/f.u.) = 13.9


Entry 14:
The following is a DFT calculation (PBE) of a relaxed structure of Cr3GaCo.

abc: 4.274 4.274 4.274
angles: 90.00 90.00 90.00
Site moments in Bohr magnetons follow the coordinates.
Positions (direct):
1 Cr 0.000 0.500 0.000  1.71
2 Cr 0.000 0.000 0.500  1.58
3 Cr 0.500 0.000 0.000  1.73
4 Co 0.000 0.000 0.000  -0.36
5 Ga 0.500 0.500 0.500  -0.13

- DOS at the Fermi energy (states/eV/f.u.) = 6.5
- ΔE to the lowest computed polymorph (eV/atom) = 0.0000


Entry 15:
The following is a DFT calculation (PBE) of a relaxed structure of Dy2YTlO.

abc: 4.816 4.779 4.779
angles: 90.00 90.00 90.00
Positions (direct):
1 Dy 0.000 0.000 0.500
2 Dy 0.000 0.500 0.000
3 Y 0.500 0.000 0.000
4 Tl 0.500 0.500 0.500
5 O 0.000 0.000 0.000

- ΔE_f (raw) (meV per atom) = -1359
- DOS at the Fermi energy (states/eV/f.u.) = 1.6


Entry 16:
The following is a DFT calculation (PBE) of a relaxed structure of Ta7As.

abc: 5.893 5.893 5.893
angles: 60.00 60.00 60.00
Positions (direct):
1 Ta 0.500 0.500 0.000
2 Ta 0.500 0.000 0.500
3 Ta 0.500 0.000 0.000
4 Ta 0.000 0.000 0.500
5 Ta 0.000 0.500 0.000
6 Ta 0.000 0.500 0.500
7 Ta 0.500 0.500 0.500
8 As 0.000 0.000 0.000

- DOS at the Fermi energy (states/eV/f.u.) = 7.9
- raw total energy (eV/atom) = -10.87


Entry 17:
The following is a DFT calculation (PBE) of a relaxed structure of NdY6Co2.

abc: 8.583 8.583 8.583
angles: 107.85 108.51 112.09
Positions (direct):
1 Nd 0.000 0.500 0.500
2 Nd 0.000 0.000 0.000
3 Y 0.477 0.291 0.187
4 Y 0.523 0.709 0.813
5 Y 0.896 0.709 0.187
6 Y 0.104 0.291 0.813
7 Y 0.218 0.763 0.981
8 Y 0.782 0.237 0.019
9 Y 0.782 0.763 0.545
10 Y 0.218 0.237 0.455
11 Y 0.315 0.996 0.681
12 Y 0.685 0.004 0.319
13 Y 0.685 0.365 0.681
14 Y 0.315 0.635 0.319
15 Co 0.500 0.389 0.889
16 Co 0.500 0.611 0.111
17 Co 0.320 0.000 0.320
18 Co 0.680 0.000 0.680

- DOS at the Fermi energy (states/eV/f.u.) = 11.5
- raw total energy (eV/atom) = -6.46


Entry 18:
The following is a DFT calculation (PBE) of a relaxed structure of Pm4NdEr10.

abc: 10.617 8.757 8.757
angles: 68.44 52.69 52.69
Positions (direct):
1 Pm 0.550 0.669 0.231
2 Pm 0.781 0.769 0.669
3 Pm 0.219 0.231 0.331
4 Pm 0.450 0.331 0.769
5 Nd 0.000 0.000 0.000
6 Er 0.250 0.500 0.500
7 Er 0.707 0.340 0.907
8 Er 0.953 0.093 0.340
9 Er 0.386 0.907 0.660
10 Er 0.954 0.660 0.093
11 Er 0.293 0.660 0.093
12 Er 0.750 0.500 0.500
13 Er 0.046 0.340 0.907
14 Er 0.614 0.093 0.340
15 Er 0.047 0.907 0.660

- DOS at the Fermi energy (states/eV/f.u.) = 26.2
- raw total energy (eV/atom) = -4.17


Entry 19:
The following is a DFT calculation (PBE) of a relaxed structure of SrZn3I9.

abc: 9.917 11.410 12.955
angles: 77.71 67.50 64.24
Site moments in Bohr magnetons follow the coordinates.
Positions (direct):
1 Sr 0.045 0.480 0.980  0.00
2 Sr 0.495 0.980 0.480  0.00
3 Zn 0.795 0.549 0.673  0.00
4 Zn 0.984 0.049 0.173  0.00
5 Zn 0.009 0.944 0.845  0.00
6 Zn 0.202 0.444 0.345  0.00
7 Zn 0.597 0.243 0.727  0.00
8 Zn 0.433 0.743 0.227  0.00
9 I 0.286 0.200 0.327  0.00
10 I 0.186 0.700 0.827  0.00
11 I 0.426 0.294 0.933  0.00
12 I 0.347 0.794 0.433  0.00
13 I 0.139 0.098 0.690  0.25
14 I 0.072 0.598 0.190  0.25
15 I 0.729 0.731 0.116  0.14
16 I 0.424 0.231 0.616  0.14
17 I 0.864 0.945 0.367  0.00
18 I 0.824 0.445 0.867  0.00
19 I 0.597 0.796 0.694  0.04
20 I 0.913 0.296 0.194  0.04
21 I 0.458 0.503 0.209  0.17
22 I 0.830 0.003 0.709  0.17
23 I 0.707 0.413 0.586  0.02
24 I 0.294 0.913 0.086  0.02
25 I 0.837 0.060 0.031  0.00
26 I 0.072 0.560 0.531  0.00

- ΔE_f (raw) (meV per atom) = -709
- DOS at the Fermi energy (states/eV/f.u.) = 2.2


Entry 20:
The following is a DFT calculation (PBE) of a relaxed structure of HgPb2Se2Br2.

abc: 4.435 7.807 7.932
angles: 71.97 73.76 73.50
Positions (direct):
1 Hg 0.000 0.000 0.000
2 Pb 0.136 0.454 0.274
3 Pb 0.864 0.546 0.726
4 Se 0.194 0.700 0.912
5 Se 0.806 0.300 0.088
6 Br 0.538 0.261 0.663
7 Br 0.462 0.739 0.337

- ΔE_f (raw) (meV per atom) = -553
- DOS at the Fermi energy (states/eV/f.u.) = 0.0


Entry 21:
The following is a DFT calculation (PBE) of a relaxed structure of AsIr2.

abc: 4.403 4.403 2.884
angles: 90.00 90.00 120.00
Positions (direct):
1 As 0.000 0.000 0.000
2 Ir 0.333 0.667 0.500
3 Ir 0.667 0.333 0.500

- DOS at the Fermi energy (states/eV/f.u.) = 3.2
- raw total energy (eV/atom) = -6.90


Entry 22:
The following is a DFT calculation (PBE) of a relaxed structure of Mg2GeIrF.

abc: 3.892 5.417 3.892
angles: 90.00 90.00 90.00
Positions (direct):
1 Ge 0.500 0.500 0.500
2 Ir 0.000 0.500 0.000
3 Mg 0.000 0.000 0.500
4 Mg 0.500 0.000 0.000
5 F 0.000 0.000 0.000

- ΔE_f (raw) (meV per atom) = -426
- DOS at the Fermi energy (states/eV/f.u.) = 1.0


Entry 23:
The following is a DFT calculation (PBE) of a relaxed structure of NpAl2B6.

abc: 3.587 5.374 5.375
angles: 120.00 90.00 90.00
Site moments in Bohr magnetons follow the coordinates.
Positions (direct):
1 Np 0.000 0.000 0.000  3.04
2 Al 0.000 0.333 0.667  0.01
3 Al 0.000 0.667 0.333  0.01
4 B 0.500 0.337 0.337  -0.01
5 B 0.500 0.663 0.663  -0.01
6 B 0.500 0.000 0.663  -0.01
7 B 0.500 0.663 0.000  -0.01
8 B 0.500 0.337 0.000  -0.01
9 B 0.500 0.000 0.337  -0.01

- DOS at the Fermi energy (states/eV/f.u.) = 6.6
- raw total energy (eV/atom) = -6.76


Entry 24:
The following is a DFT calculation (PBE) of a relaxed structure of V3H2.

abc: 4.441 5.176 5.159
angles: 61.74 64.51 64.60
Positions (direct):
1 V 0.323 0.592 0.763
2 V 0.677 0.908 0.737
3 V 0.000 0.250 0.750
4 V 0.000 0.750 0.250
5 V 0.323 0.092 0.263
6 V 0.677 0.408 0.237
7 H 0.737 0.000 0.000
8 H 0.737 0.500 0.500
9 H 0.263 0.500 0.500
10 H 0.263 0.000 0.000

- DOS at the Fermi energy (states/eV/f.u.) = 2.8
- ΔE to the lowest computed polymorph (eV/atom) = 0.0000